{"formula": "MgWCl4", "functional": "GGA-PBE", "state": "optimized geometry", "cell": [[0.000, 4.122, 4.122], [4.122, 0.000, 4.122], [4.122, 4.122, 0.000]], "species": ["Cl", "Cl", "Cl", "Cl", "Mg", "W"], "frac_coords": [[0.375, 0.375, 0.375], [0.375, 0.875, 0.375], [0.875, 0.375, 0.375], [0.375, 0.375, 0.875], [0.750, 0.750, 0.750], [0.000, 0.000, 0.000]], "dft_energy_ev_per_atom": -2.580, "magmom_total_mub_per_atom": 0.56, "raw_formation_energy_kj_per_mol_fu": 623}